BaNaPbAu2: relaxed, PBE-GGA.

It has space group I-4m2 (No. 119), with a = 4.6410 Å, b = 4.6410 Å, c = 13.1874 Å, α = 90.00°, β = 90.00° and γ = 90.00°. The asymmetric unit holds Ba at (0.0000, 0.0000, 0.0000), Na at (0.0000, 0.5000, 0.2500), Pb at (0.0000, 0.5000, 0.7500) and Au at (0.0000, 0.0000, 0.3949).


MgSiSnOs: relaxed, PBE-GGA.

It has space group F-43m (No. 216), with a = 6.4408 Å, b = 6.4408 Å, c = 6.4408 Å, α = 90.00°, β = 90.00° and γ = 90.00°. The asymmetric unit holds Mg at (0.0000, 0.0000, 0.0000), Si at (0.2500, 0.2500, 0.2500), Sn at (0.2500, 0.2500, 0.7500) and Os at (0.0000, 0.0000, 0.5000).

Its total moment is 0.00 μB per atom.


IrPtNO: relaxed, PBE-GGA.

It has space group Pmc2_1 (No. 26), with a = 3.0429 Å, b = 5.6675 Å, c = 5.8825 Å, α = 90.00°, β = 90.00° and γ = 90.00°. The asymmetric unit holds Ir at (0.0000, 0.0961, 0.0000), Pt at (0.5000, 0.2940, 0.4653), N at (0.0000, 0.1985, 0.6845) and O at (0.5000, 0.3303, 0.0834).

Its total moment is 0.00 μB per atom.


no.,uncorrected energy (eV/atom)
1,-3.199
2,-5.338
3,-6.633